1.
Below is crystalline AlAgSn at its relaxed geometry, with properties calculated at the PBE-GGA level.

calculated total energy	-3.464	eV/atom
space group	C2 (5)
energy of formation from the pure elements	20	kJ/mol of formula units
D(E_F)	0.429	states/eV/atom

Cell: 4.439 4.439 7.276 Å, 108.32 71.62 90.67°
Fractional positions:
1 Al 0.354 0.916 0.218
2 Al 0.095 0.174 0.726
3 Ag 0.724 0.043 0.472
4 Ag 0.223 0.545 0.472
5 Sn 0.562 0.705 0.791
6 Sn 0.885 0.382 0.153

***

2.
Below is crystalline Ce2Dy2Hg7 at its relaxed geometry, with properties calculated at the PBE-GGA level.

calculated total energy	-2.118	eV/atom
space group	Cmmm (65)
energy of formation from the pure elements	-11	kJ/mol of formula units
D(E_F)	2.079	states/eV/atom

Cell: 6.876 7.477 6.876 Å, 90.00 103.07 90.00°
Fractional positions:
1 Ce 0.703 0.000 0.297
2 Ce 0.297 0.000 0.703
3 Dy 0.801 0.500 0.801
4 Dy 0.199 0.500 0.199
5 Hg 0.000 0.299 0.500
6 Hg 0.500 0.701 0.000
7 Hg 0.000 0.701 0.500
8 Hg 0.500 0.299 0.000
9 Hg 0.000 0.000 0.000
10 Hg 0.500 0.707 0.500
11 Hg 0.500 0.293 0.500

***

3.
Below is crystalline KHg2Sb2 at its relaxed geometry, with properties calculated at the PBE-GGA level.

E_form (uncorrected)	-0.032	eV/atom
calculated total energy	-2.021	eV/atom
space group	P4/mbm (127)
excess energy over the best structure of this formula in the dataset	133	meV per atom
D(E_F)	0.775	states/eV/atom

Cell: 8.950 8.950 3.688 Å, 90.00 90.00 90.00°
Fractional positions:
1 Sb 0.371 0.871 0.000
2 Sb 0.871 0.629 0.000
3 Sb 0.629 0.129 0.000
4 Sb 0.129 0.371 0.000
5 K 0.000 0.000 0.000
6 K 0.500 0.500 0.000
7 Hg 0.166 0.666 0.500
8 Hg 0.666 0.834 0.500
9 Hg 0.834 0.334 0.500
10 Hg 0.334 0.166 0.500

***

4.
Below is crystalline LiTbSmSe3 at its relaxed geometry, with properties calculated at the PBE-GGA level.

E_form (uncorrected)	-1.662	eV/atom
calculated total energy	-5.282	eV/atom
space group	P2_1/m (11)
D(E_F)	0.345	states/eV/atom

Cell: 4.000 8.443 8.819 Å, 102.72 90.00 90.00°
Fractional positions:
1 Li 0.250 0.086 0.584
2 Li 0.750 0.914 0.416
3 Tb 0.250 0.664 0.164
4 Tb 0.750 0.336 0.836
5 Sm 0.250 0.187 0.224
6 Sm 0.750 0.813 0.776
7 Se 0.750 0.907 0.130
8 Se 0.250 0.093 0.870
9 Se 0.250 0.779 0.504
10 Se 0.750 0.221 0.496
11 Se 0.750 0.427 0.174
12 Se 0.250 0.573 0.826